[1]
Pm3HfPb5, relaxed, DFT GGA-PBE; DFT total energy = -5.158 eV/atom; energy of formation from the pure elements = -408 meV per atom; SG = P6_3/mcm
1.0
9.566 0.000 0.000
-4.783 8.285 0.000
0.000 0.000 6.458
Pm Hf Pb
6 2 10
Direct
0.000 0.385 0.250
0.000 0.615 0.750
0.385 0.000 0.250
0.385 0.385 0.750
0.615 0.000 0.750
0.615 0.615 0.250
0.000 0.000 0.000
0.000 0.000 0.500
0.000 0.271 0.750
0.000 0.729 0.250
0.271 0.000 0.750
0.271 0.271 0.250
0.333 0.667 0.000
0.333 0.667 0.500
0.667 0.333 0.000
0.667 0.333 0.500
0.729 0.000 0.250
0.729 0.729 0.750


[2]
HfPtPb3, relaxed, DFT GGA-PBE; DFT total energy = -4.754 eV/atom; energy of formation from the pure elements = 670 meV per atom; SG = Pm-3m; E above lowest polymorph = 0 meV/atom
1.0
5.354 0.000 0.000
0.000 5.354 0.000
0.000 0.000 5.354
Hf Pt Pb
1 1 3
Direct
0.000 0.000 0.000
0.500 0.500 0.500
0.000 0.500 0.500
0.500 0.000 0.500
0.500 0.500 0.000


[3]
Hf4PtPb, relaxed, DFT GGA-PBE; DFT total energy = -8.589 eV/atom; energy of formation from the pure elements = -329 meV per atom; SG = C2/c
1.0
3.926 -6.294 0.000
3.926 6.294 0.000
-1.799 0.000 5.251
Hf Pt Pb
8 2 2
Direct
0.100 0.711 0.947
0.181 0.386 0.635
0.289 0.900 0.553
0.386 0.181 0.135
0.614 0.819 0.865
0.711 0.100 0.447
0.819 0.614 0.365
0.900 0.289 0.053
0.004 0.996 0.250
0.996 0.004 0.750
0.398 0.602 0.250
0.602 0.398 0.750


[4]
Hf2Pt9Pb, relaxed, DFT GGA-PBE; DFT total energy = -7.295 eV/atom; energy of formation from the pure elements = -797 meV per atom; SG = P4/mmm
1.0
4.055 0.000 0.000
0.000 4.055 0.000
0.000 0.000 12.270
Hf Pt Pb
2 9 1
Direct
0.000 0.000 0.164
0.000 0.000 0.836
0.000 0.500 0.000
0.000 0.500 0.322
0.000 0.500 0.678
0.500 0.000 0.000
0.500 0.000 0.322
0.500 0.000 0.678
0.500 0.500 0.163
0.500 0.500 0.500
0.500 0.500 0.837
0.000 0.000 0.500


[5]
HfPtPb3, relaxed, DFT GGA-PBE; DFT total energy = -4.492 eV/atom; energy of formation from the pure elements = 931 meV per atom; SG = Pm-3m; E above lowest polymorph = 261 meV/atom
1.0
5.556 0.000 0.000
0.000 5.556 0.000
0.000 0.000 5.556
Hf Pt Pb
1 1 3
Direct
0.000 0.000 0.000
0.500 0.500 0.500
0.000 0.000 0.500
0.000 0.500 0.000
0.500 0.000 0.000


[6]
Hf8PtPb2, relaxed, DFT GGA-PBE; DFT total energy = -8.521 eV/atom; energy of formation from the pure elements = -58 meV per atom; SG = C2/m
1.0
9.372 -2.385 0.000
9.372 2.385 0.000
-1.773 0.000 5.607
Hf Pt Pb
8 1 2
Direct
0.022 0.022 0.265
0.234 0.234 0.852
0.353 0.353 0.440
0.416 0.416 0.000
0.584 0.584 0.000
0.647 0.647 0.560
0.766 0.766 0.148
0.978 0.978 0.735
0.500 0.500 0.500
0.182 0.182 0.286
0.818 0.818 0.714